First-principles (PBEsol) data for a geometry-optimized Ba4BiPb3O12 structure, as listed in Alexandria.

symmetry: C2/m, No. 12
volume: 15.95 Å³ per atom
total energy: -0.2264 hartree per atom
theoretical density: 8.2 g/cm³
formation energy (no corrections): -1.768 eV per atom

Cell: 6.0667 6.0814 10.5412 Å, 106.27 90.00 119.92°
Last column: nearest neighbours and their distance in Å.
Positions (direct):
Ba: 0.6220 0.2441 0.3714  5 O 2.72-2.83
Ba: 0.1228 0.2456 0.8734  5 O 2.69-2.85
Ba: 0.3780 0.7559 0.6286  5 O 2.72-2.83
Ba: 0.8772 0.7544 0.1266  5 O 2.69-2.85
Bi: 0.0000 0.0000 0.5000  6 O 2.16
Pb: 0.5000 0.0000 0.0000  6 O 2.18
Pb: 0.7514 0.5029 0.7520  6 O 2.17-2.20
Pb: 0.2486 0.4971 0.2480  6 O 2.17-2.20
O: 0.6429 0.7849 0.3600  1 Bi 2.16, 1 Pb 2.20
O: 0.1451 0.7887 0.8554  2 Pb 2.17-2.18
O: 0.8580 0.2151 0.6400  1 Bi 2.16, 1 Pb 2.20
O: 0.3564 0.2113 0.1446  2 Pb 2.17-2.18
O: 0.1420 0.7849 0.3600  1 Bi 2.16, 1 Pb 2.20
O: 0.6436 0.7887 0.8554  2 Pb 2.17-2.18
O: 0.3571 0.2151 0.6400  1 Bi 2.16, 1 Pb 2.20
O: 0.8549 0.2113 0.1446  2 Pb 2.17-2.18
O: 0.8444 0.6888 0.5925  1 Bi 2.16, 1 Pb 2.20
O: 0.3423 0.6847 0.0924  2 Pb 2.17-2.18
O: 0.1556 0.3112 0.4075  1 Bi 2.16, 1 Pb 2.20
O: 0.6577 0.3153 0.9076  2 Pb 2.17-2.18

First-principles (PBEsol) data for a geometry-optimized Ba3BiPb2O9 structure, as listed in Alexandria.

symmetry: P-1, No. 2
volume: 16.02 Å³ per atom
total energy: -0.2270 hartree per atom
theoretical density: 8.2 g/cm³
formation energy (no corrections): -1.778 eV per atom

Cell: 6.0781 6.0819 13.6577 Å, 77.48 77.45 89.84°
Last column: nearest neighbours and their distance in Å.
Positions (direct):
Ba: 0.0783 0.5789 0.8368  6 O 2.74-3.00
Ba: 0.7468 0.2468 0.5010  6 O 2.70-2.95
Ba: 0.4138 0.9124 0.1652  6 O 2.69-2.93
Ba: 0.2532 0.7532 0.4990  6 O 2.70-2.95
Ba: 0.9217 0.4211 0.1632  6 O 2.74-3.00
Ba: 0.5862 0.0876 0.8348  6 O 2.69-2.93
Bi: 0.1663 0.1667 0.6667  6 O 2.16-2.17
Bi: 0.8337 0.8333 0.3333  6 O 2.16-2.17
Pb: 0.5000 0.5000 0.0000  6 O 2.18-2.19
Pb: 0.6659 0.6662 0.6679  6 O 2.17-2.20
Pb: 0.3341 0.3338 0.3321  6 O 2.17-2.20
Pb: 0.0000 0.0000 0.0000  6 O 2.18-2.20
O: 0.3664 0.8700 0.6814  1 Bi 2.17, 1 Pb 2.20
O: 0.0348 0.5378 0.3499  1 Bi 2.17, 1 Pb 2.20
O: 0.7028 0.2022 0.0157  2 Pb 2.18-2.19
O: 0.9652 0.4622 0.6501  1 Bi 2.17, 1 Pb 2.20
O: 0.6336 0.1300 0.3186  1 Bi 2.17, 1 Pb 2.20
O: 0.2972 0.7978 0.9843  2 Pb 2.18-2.19
O: 0.8762 0.9606 0.6659  1 Bi 2.17, 1 Pb 2.20
O: 0.5431 0.6264 0.3340  1 Bi 2.17, 1 Pb 2.20
O: 0.2081 0.2911 0.0000  2 Pb 2.18
O: 0.2743 0.2233 0.5003  1 Bi 2.17, 1 Pb 2.20
O: 0.9429 0.8868 0.1681  1 Bi 2.16, 1 Pb 2.20
O: 0.6137 0.5530 0.8334  2 Pb 2.17-2.18
O: 0.0571 0.1132 0.8319  1 Bi 2.16, 1 Pb 2.20
O: 0.7257 0.7767 0.4997  1 Bi 2.17, 1 Pb 2.20
O: 0.3863 0.4470 0.1666  2 Pb 2.17-2.18
O: 0.4569 0.3736 0.6660  1 Bi 2.17, 1 Pb 2.20
O: 0.1238 0.0394 0.3341  1 Bi 2.17, 1 Pb 2.20
O: 0.7919 0.7089 0.0000  2 Pb 2.18

First-principles (PBEsol) data for a geometry-optimized Ba4BiPb3O12 structure, as listed in Alexandria.

symmetry: P4/mmm, No. 123
volume: 16.02 Å³ per atom
total energy: -0.2258 hartree per atom
theoretical density: 8.1 g/cm³
formation energy (no corrections): -1.751 eV per atom

Cell: 4.3072 4.3072 17.2726 Å, 90.00 90.00 90.00°
Last column: nearest neighbours and their distance in Å.
Positions (direct):
Ba: 0.5000 0.5000 0.8692  12 O 2.93-3.12
Ba: 0.5000 0.5000 0.6227  12 O 3.02-3.13
Ba: 0.5000 0.5000 0.3773  12 O 3.02-3.13
Ba: 0.5000 0.5000 0.1308  12 O 2.93-3.12
Bi: 0.0000 0.0000 0.0000  6 O 2.14-2.15
Pb: 0.0000 0.0000 0.7491  6 O 2.13-2.20
Pb: 0.0000 0.0000 0.5000  6 O 2.15-2.17
Pb: 0.0000 0.0000 0.2509  6 O 2.13-2.20
O: 0.0000 0.5000 0.7539  2 Pb 2.16
O: 0.0000 0.5000 0.5000  2 Pb 2.15
O: 0.0000 0.5000 0.2461  2 Pb 2.16
O: 0.0000 0.5000 0.0000  2 Bi 2.15
O: 0.5000 0.0000 0.7539  2 Pb 2.16
O: 0.5000 0.0000 0.5000  2 Pb 2.15
O: 0.5000 0.0000 0.2461  2 Pb 2.16
O: 0.5000 0.0000 0.0000  2 Bi 2.15
O: 0.0000 0.0000 0.8764  1 Bi 2.14, 1 Pb 2.20
O: 0.0000 0.0000 0.6255  2 Pb 2.13-2.17
O: 0.0000 0.0000 0.3745  2 Pb 2.13-2.17
O: 0.0000 0.0000 0.1236  1 Bi 2.14, 1 Pb 2.20

First-principles (PBEsol) data for a geometry-optimized Ba2BiRuO6 structure, as listed in Alexandria.

symmetry: P6_3/mmc, No. 194
volume: 15.87 Å³ per atom
total energy: -0.2512 hartree per atom
theoretical density: 7.1 g/cm³
formation energy (no corrections): -1.810 eV per atom

Cell: 6.0252 6.0252 20.1963 Å, 90.00 90.00 120.00°
Last column: nearest neighbours and their distance in Å.
Positions (direct):
Ba: 0.6667 0.3333 0.8562  9 O 2.87-3.02
Ba: 0.6667 0.3333 0.2500  12 O 2.97-3.02
Ba: 0.3333 0.6667 0.7500  12 O 2.97-3.02
Ba: 0.0000 0.0000 0.0000  12 O 3.01-3.18
Ba: 0.3333 0.6667 0.3562  9 O 2.87-3.02
Ba: 0.3333 0.6667 0.1438  9 O 2.87-3.02
Ba: 0.6667 0.3333 0.6438  9 O 2.87-3.02
Ba: 0.0000 0.0000 0.5000  12 O 3.01-3.18
Bi: 0.6667 0.3333 0.0625  6 O 2.15-2.37
Bi: 0.3333 0.6667 0.9375  6 O 2.15-2.37
Bi: 0.6667 0.3333 0.4375  6 O 2.15-2.37
Bi: 0.3333 0.6667 0.5625  6 O 2.15-2.37
Ru: 0.0000 0.0000 0.8159  6 O 1.89-2.06
Ru: 0.0000 0.0000 0.1841  6 O 1.89-2.06
Ru: 0.0000 0.0000 0.6841  6 O 1.89-2.06
Ru: 0.0000 0.0000 0.3159  6 O 1.89-2.06
O: 0.1552 0.8448 0.8645  1 Ru 1.89
O: 0.3021 0.1510 0.7500  2 Ru 2.06
O: 0.6897 0.8448 0.6355  1 Ru 1.89
O: 0.8448 0.1552 0.1355  1 Ru 1.89
O: 0.6897 0.8448 0.8645  1 Ru 1.89
O: 0.0000 0.5000 0.5000  2 Bi 2.15
O: 0.1552 0.3103 0.8645  1 Ru 1.89
O: 0.6979 0.8490 0.2500  2 Ru 2.06
O: 0.1510 0.8490 0.2500  2 Ru 2.06
O: 0.3103 0.1552 0.3645  1 Ru 1.89
O: 0.8490 0.6979 0.7500  2 Ru 2.06
O: 0.8448 0.6897 0.3645  1 Ru 1.89
O: 0.0000 0.5000 0.0000  2 Bi 2.15
O: 0.1510 0.3021 0.2500  2 Ru 2.06
O: 0.8448 0.6897 0.1355  1 Ru 1.89
O: 0.8448 0.1552 0.3645  1 Ru 1.89
O: 0.3103 0.1552 0.1355  1 Ru 1.89
O: 0.5000 0.0000 0.0000  2 Bi 2.15
O: 0.5000 0.5000 0.0000  2 Bi 2.15
O: 0.1552 0.3103 0.6355  1 Ru 1.89
O: 0.8490 0.1510 0.7500  2 Ru 2.06
O: 0.5000 0.0000 0.5000  2 Bi 2.15
O: 0.1552 0.8448 0.6355  1 Ru 1.89
O: 0.5000 0.5000 0.5000  2 Bi 2.15

First-principles (PBEsol) data for a geometry-optimized Ba3BiRu2O9 structure, as listed in Alexandria.

symmetry: C2/c, No. 15
volume: 14.81 Å³ per atom
total energy: -0.2595 hartree per atom
theoretical density: 7.2 g/cm³
formation energy (no corrections): -1.839 eV per atom

Cell: 5.9265 5.9122 14.6606 Å, 89.18 88.36 59.92°
Last column: nearest neighbours and their distance in Å.
Positions (direct):
Ba: 0.9960 0.0081 0.2500  10 O 2.74-2.97
Ba: 0.6593 0.6688 0.5963  8 O 2.74-3.06
Ba: 0.6719 0.6688 0.9037  8 O 2.74-3.06
Ba: 0.3407 0.3312 0.4037  8 O 2.74-3.06
Ba: 0.0040 0.9919 0.7500  10 O 2.74-2.97
Ba: 0.3281 0.3312 0.0963  8 O 2.74-3.06
Bi: 0.0000 0.0000 0.5000  6 O 2.27-2.30
Bi: 0.0000 0.0000 0.0000  6 O 2.27-2.30
Ru: 0.6795 0.6676 0.3335  6 O 1.94-2.03
Ru: 0.6529 0.6676 0.1665  6 O 1.94-2.03
Ru: 0.3471 0.3324 0.8335  6 O 1.94-2.03
Ru: 0.3205 0.3324 0.6665  6 O 1.94-2.03
O: 0.5051 0.5198 0.2600  2 Ru 2.00-2.02
O: 0.8625 0.3462 0.4034  1 Ru 1.94
O: 0.7913 0.3462 0.0966  1 Ru 1.94
O: 0.1375 0.6538 0.5966  1 Ru 1.94
O: 0.6721 0.1859 0.8985  1 Ru 1.94
O: 0.3279 0.8141 0.1015  1 Ru 1.94
O: 0.1420 0.1859 0.6015  1 Ru 1.94
O: 0.2115 0.1867 0.9245  1 Ru 1.94
O: 0.2087 0.6538 0.9034  1 Ru 1.94
O: 0.8580 0.8141 0.3985  1 Ru 1.94
O: 0.5084 0.9832 0.2500  2 Ru 2.03
O: 0.9751 0.5198 0.2400  2 Ru 2.00-2.02
O: 0.0249 0.4802 0.7600  2 Ru 2.00-2.02
O: 0.4916 0.0168 0.7500  2 Ru 2.03
O: 0.7885 0.8133 0.0755  1 Ru 1.94
O: 0.3982 0.8133 0.4245  1 Ru 1.94
O: 0.6018 0.1867 0.5755  1 Ru 1.94
O: 0.4949 0.4802 0.7400  2 Ru 2.00-2.02

First-principles (PBEsol) data for a geometry-optimized Ba2BiSbO6 structure, as listed in Alexandria.

symmetry: R-3, No. 148
volume: 15.67 Å³ per atom
total energy: -0.2405 hartree per atom
theoretical density: 7.4 g/cm³
formation energy (no corrections): -2.080 eV per atom

Cell: 6.0232 6.0232 6.0232 Å, 60.63 60.63 60.63°
Last column: nearest neighbours and their distance in Å.
Positions (direct):
Sb: 0.5000 0.5000 0.5000  6 O 2.01
Bi: 0.0000 0.0000 0.0000  6 O 2.31
O: 0.7285 0.2186 0.3168  1 Sb 2.01
O: 0.2186 0.3168 0.7285  1 Sb 2.01
O: 0.3168 0.7285 0.2186  1 Sb 2.01
O: 0.2715 0.7814 0.6832  1 Sb 2.01
O: 0.6832 0.2715 0.7814  1 Sb 2.01
O: 0.7814 0.6832 0.2715  1 Sb 2.01
Ba: 0.2512 0.2512 0.2512  9 O 2.75-3.07
Ba: 0.7488 0.7488 0.7488  9 O 2.75-3.07

First-principles (PBEsol) data for a geometry-optimized Ba2TaBiO6 structure, as listed in Alexandria.

symmetry: R-3, No. 148
volume: 15.67 Å³ per atom
total energy: -0.2877 hartree per atom
theoretical density: 8.1 g/cm³
formation energy (no corrections): -2.566 eV per atom

Cell: 6.0168 6.0168 6.0168 Å, 60.77 60.77 60.77°
Last column: nearest neighbours and their distance in Å.
Positions (direct):
Ba: 0.7487 0.7487 0.7487  6 O 2.71-2.98
Ba: 0.2513 0.2513 0.2513  6 O 2.71-2.98
Bi: 0.0000 0.0000 0.0000  6 O 2.34
O: 0.7252 0.2148 0.3255  1 Ta 2.00
O: 0.2148 0.3255 0.7252  1 Ta 2.00
O: 0.3255 0.7252 0.2148  1 Ta 2.00
O: 0.2748 0.7852 0.6745  1 Ta 2.00
O: 0.6745 0.2748 0.7852  1 Ta 2.00
O: 0.7852 0.6745 0.2748  1 Ta 2.00
Ta: 0.5000 0.5000 0.5000  6 O 2.00

First-principles (PBEsol) data for a geometry-optimized Ba2Ti5Bi4O18 structure, as listed in Alexandria.

symmetry: I4/mmm, No. 139
volume: 12.47 Å³ per atom
total energy: -0.2895 hartree per atom
theoretical density: 7.5 g/cm³
formation energy (no corrections): -2.446 eV per atom

Cell: 3.8849 3.8849 24.1244 Å, 94.62 94.62 90.00°
Last column: nearest neighbours and their distance in Å.
Positions (direct):
Ba: 0.0425 0.0425 0.0851  12 O 2.75-2.83
Ba: 0.9575 0.9575 0.9149  12 O 2.75-2.83
Ti: 0.3311 0.3311 0.6622  5 O 1.78-1.98
Ti: 0.6689 0.6689 0.3378  5 O 1.78-1.98
Ti: 0.4150 0.4150 0.8300  6 O 1.89-2.05
Ti: 0.5850 0.5850 0.1700  6 O 1.89-2.05
Ti: 0.5000 0.5000 0.0000  6 O 1.94-2.02
Bi: 0.2243 0.2243 0.4486  4 O 2.30
Bi: 0.7757 0.7757 0.5514  4 O 2.30
Bi: 0.1286 0.1286 0.2572  8 O 2.49-2.75
Bi: 0.8714 0.8714 0.7428  8 O 2.49-2.75
O: 0.3756 0.3756 0.7512  1 Ti 1.89
O: 0.6244 0.6244 0.2488  1 Ti 1.89
O: 0.2941 0.2941 0.5881  1 Ti 1.78
O: 0.7059 0.7059 0.4119  1 Ti 1.78
O: 0.0854 0.5854 0.1709  2 Ti 1.94
O: 0.5854 0.0854 0.1709  2 Ti 1.94
O: 0.9146 0.4146 0.8291  2 Ti 1.94
O: 0.4146 0.9146 0.8291  2 Ti 1.94
O: 0.4578 0.4578 0.9156  2 Ti 2.02-2.05
O: 0.5422 0.5422 0.0844  2 Ti 2.02-2.05
O: 0.1611 0.6611 0.3223  2 Ti 1.98
O: 0.6611 0.1611 0.3223  2 Ti 1.98
O: 0.8389 0.3389 0.6777  2 Ti 1.98
O: 0.3389 0.8389 0.6777  2 Ti 1.98
O: 0.2500 0.7500 0.5000  4 Bi 2.30
O: 0.7500 0.2500 0.5000  4 Bi 2.30
O: 0.0000 0.5000 0.0000  2 Ti 1.94
O: 0.5000 0.0000 0.0000  2 Ti 1.94

Q: Among the records above, which one has the highest total energy?
A: number 3

What did the eighth record say?
First-principles (PBEsol) data for a geometry-optimized Ba2Ti5Bi4O18 structure, as listed in Alexandria.

symmetry: I4/mmm, No. 139
volume: 12.47 Å³ per atom
total energy: -0.2895 hartree per atom
theoretical density: 7.5 g/cm³
formation energy (no corrections): -2.446 eV per atom

Cell: 3.8849 3.8849 24.1244 Å, 94.62 94.62 90.00°
Last column: nearest neighbours and their distance in Å.
Positions (direct):
Ba: 0.0425 0.0425 0.0851  12 O 2.75-2.83
Ba: 0.9575 0.9575 0.9149  12 O 2.75-2.83
Ti: 0.3311 0.3311 0.6622  5 O 1.78-1.98
Ti: 0.6689 0.6689 0.3378  5 O 1.78-1.98
Ti: 0.4150 0.4150 0.8300  6 O 1.89-2.05
Ti: 0.5850 0.5850 0.1700  6 O 1.89-2.05
Ti: 0.5000 0.5000 0.0000  6 O 1.94-2.02
Bi: 0.2243 0.2243 0.4486  4 O 2.30
Bi: 0.7757 0.7757 0.5514  4 O 2.30
Bi: 0.1286 0.1286 0.2572  8 O 2.49-2.75
Bi: 0.8714 0.8714 0.7428  8 O 2.49-2.75
O: 0.3756 0.3756 0.7512  1 Ti 1.89
O: 0.6244 0.6244 0.2488  1 Ti 1.89
O: 0.2941 0.2941 0.5881  1 Ti 1.78
O: 0.7059 0.7059 0.4119  1 Ti 1.78
O: 0.0854 0.5854 0.1709  2 Ti 1.94
O: 0.5854 0.0854 0.1709  2 Ti 1.94
O: 0.9146 0.4146 0.8291  2 Ti 1.94
O: 0.4146 0.9146 0.8291  2 Ti 1.94
O: 0.4578 0.4578 0.9156  2 Ti 2.02-2.05
O: 0.5422 0.5422 0.0844  2 Ti 2.02-2.05
O: 0.1611 0.6611 0.3223  2 Ti 1.98
O: 0.6611 0.1611 0.3223  2 Ti 1.98
O: 0.8389 0.3389 0.6777  2 Ti 1.98
O: 0.3389 0.8389 0.6777  2 Ti 1.98
O: 0.2500 0.7500 0.5000  4 Bi 2.30
O: 0.7500 0.2500 0.5000  4 Bi 2.30
O: 0.0000 0.5000 0.0000  2 Ti 1.94
O: 0.5000 0.0000 0.0000  2 Ti 1.94

Repeat the seventh record exactly.
First-principles (PBEsol) data for a geometry-optimized Ba2TaBiO6 structure, as listed in Alexandria.

symmetry: R-3, No. 148
volume: 15.67 Å³ per atom
total energy: -0.2877 hartree per atom
theoretical density: 8.1 g/cm³
formation energy (no corrections): -2.566 eV per atom

Cell: 6.0168 6.0168 6.0168 Å, 60.77 60.77 60.77°
Last column: nearest neighbours and their distance in Å.
Positions (direct):
Ba: 0.7487 0.7487 0.7487  6 O 2.71-2.98
Ba: 0.2513 0.2513 0.2513  6 O 2.71-2.98
Bi: 0.0000 0.0000 0.0000  6 O 2.34
O: 0.7252 0.2148 0.3255  1 Ta 2.00
O: 0.2148 0.3255 0.7252  1 Ta 2.00
O: 0.3255 0.7252 0.2148  1 Ta 2.00
O: 0.2748 0.7852 0.6745  1 Ta 2.00
O: 0.6745 0.2748 0.7852  1 Ta 2.00
O: 0.7852 0.6745 0.2748  1 Ta 2.00
Ta: 0.5000 0.5000 0.5000  6 O 2.00